A plane-wave DFT calculation with PBE-GGA was carried out for a relaxed structure of SiRuAu.

Volume: 15.506 Å³ per atom
Total DFT energy (no corrections): -18.1 eV per cell
Uncorrected formation energy: -0.05 eV/atom
Energy above the lowest structure with this stoichiometry: 0.128 eV per atom

Lattice parameters (Å, degrees): 4.0506 4.0506 3.2738 90.00 90.00 120.00
Space group P3m1 (No. 156)
Symmetry-distinct sites (fractional):
1 Si 0.0000 0.0000 0.0000 x1
2 Ru 0.3333 0.6667 0.8665 x1
3 Au 0.6667 0.3333 0.3740 x1

A plane-wave DFT calculation with PBE-GGA was carried out for a relaxed structure of SiRu2Au.

Volume: 14.641 Å³ per atom
Total DFT energy (no corrections): -26.9 eV per cell
Uncorrected formation energy: 0.09 eV/atom

Lattice parameters (Å, degrees): 2.844 2.844 7.242 90.00 90.00 90.00
Space group P4mm (No. 99)
Symmetry-distinct sites (fractional):
1 Si 0.000 0.000 0.000 x1
2 Ru 0.000 0.000 0.550 x1
3 Ru 0.500 0.500 0.795 x1
4 Au 0.500 0.500 0.264 x1

A plane-wave DFT calculation with PBE-GGA was carried out for a relaxed structure of SiRuAu2.

Volume: 16.879 Å³ per atom
Total DFT energy (no corrections): -42.0 eV per cell
Uncorrected formation energy: 0.07 eV/atom

Lattice parameters (Å, degrees): 8.190 3.298 5.487 90.00 114.36 90.00
Space group Cm (No. 8)
Symmetry-distinct sites (fractional):
1 Si 0.000 0.000 0.000 x2
2 Ru 0.293 0.000 0.989 x2
3 Au 0.194 0.500 0.350 x2
4 Au 0.489 0.000 0.632 x2

A plane-wave DFT calculation with PBE-GGA was carried out for a relaxed structure of SiRuAu2.

Volume: 16.258 Å³ per atom
Total DFT energy (no corrections): -19.8 eV per cell
Uncorrected formation energy: 0.37 eV/atom

Lattice parameters (Å, degrees): 2.918 4.071 5.474 90.00 90.00 90.00
Space group Pmmm (No. 47)
Symmetry-distinct sites (fractional):
1 Si 0.000 0.000 0.000 x1
2 Ru 0.000 0.000 0.500 x1
3 Au 0.500 0.500 0.250 x2

A plane-wave DFT calculation with PBE-GGA was carried out for a relaxed structure of SiRuAu2.

Volume: 15.781 Å³ per atom
Total DFT energy (no corrections): -40.6 eV per cell
Uncorrected formation energy: 0.24 eV/atom

Lattice parameters (Å, degrees): 4.200 4.200 7.157 90.00 90.00 90.00
Space group I-4m2 (No. 119)
Symmetry-distinct sites (fractional):
1 Si 0.000 0.000 0.000 x2
2 Ru 0.000 0.500 0.250 x2
3 Au 0.000 0.000 0.500 x2
4 Au 0.000 0.500 0.750 x2

A plane-wave DFT calculation with PBE-GGA was carried out for a relaxed structure of SiRu2Au.

Volume: 14.774 Å³ per atom
Total DFT energy (no corrections): -54.0 eV per cell
Uncorrected formation energy: 0.06 eV/atom

Lattice parameters (Å, degrees): 9.358 2.851 4.808 90.00 112.90 90.00
Space group Cm (No. 8)
Symmetry-distinct sites (fractional):
1 Si 0.000 0.000 0.000 x2
2 Ru 0.191 0.500 0.377 x2
3 Ru 0.459 0.000 0.560 x2
4 Au 0.256 0.000 0.914 x2